The following is a DFT calculation (PBE-GGA) of a geometry-optimized AcCo2CuH8 structure.

DFT total energy: -4.296 eV/atom
magnetization: 0.00 μB/f.u.

Cell and atoms, written as CIF:
```
data_AcCo2CuH8
_symmetry_space_group_name_H-M 'P 1'
_symmetry_Int_Tables_number 1
_symmetry_space_group_name_Hall 'P 1'
_cell_length_a 6.2246
_cell_length_b 6.2246
_cell_length_c 6.2246
_cell_angle_alpha 42.89
_cell_angle_beta 42.89
_cell_angle_gamma 42.89
loop_
_atom_site_label
_atom_site_fract_x
_atom_site_fract_y
_atom_site_fract_z
Ac1 0.0000 0.0000 0.0000
Co1 0.1963 0.1963 0.1963
Co2 0.8037 0.8037 0.8037
Cu1 0.5000 0.5000 0.5000
H1 0.1199 0.8463 0.4143
H2 0.1537 0.5857 0.8801
H3 0.2923 0.2923 0.2923
H4 0.4143 0.1199 0.8463
H5 0.5857 0.8801 0.1537
H6 0.7077 0.7077 0.7077
H7 0.8463 0.4143 0.1199
H8 0.8801 0.1537 0.5857
```

=====

The following is a DFT calculation (PBE-GGA) of a geometry-optimized Ac2CoCuH6 structure.

DFT total energy: -4.274 eV/atom
magnetization: 0.39 μB/f.u.

Cell and atoms, written as CIF:
```
data_Ac2CoCuH6
_symmetry_space_group_name_H-M 'P 1'
_symmetry_Int_Tables_number 1
_symmetry_space_group_name_Hall 'P 1'
_cell_length_a 5.4320
_cell_length_b 5.4320
_cell_length_c 5.4387
_cell_angle_alpha 119.66
_cell_angle_beta 119.66
_cell_angle_gamma 90.38
loop_
_atom_site_label
_atom_site_fract_x
_atom_site_fract_y
_atom_site_fract_z
Ac1 0.2498 0.7502 0.0000
Ac2 0.7502 0.2498 0.0000
Co1 0.0000 0.0000 0.5000
Cu1 0.5000 0.5000 0.5000
H1 0.2159 0.2159 0.9330
H2 0.2183 0.2183 0.4984
H3 0.2176 0.7824 0.5000
H4 0.7824 0.2176 0.5000
H5 0.7817 0.7817 0.5016
H6 0.7841 0.7841 0.0670
```

=====

The following is a DFT calculation (PBE-GGA) of a geometry-optimized Ac4CoCuI2 structure.

E_form (uncorrected): -4.80 eV per formula unit
magnetization: 0.00 μB/f.u.

Cell and atoms, written as CIF:
```
data_Ac4CoCuI2
_symmetry_space_group_name_H-M 'P 1'
_symmetry_Int_Tables_number 1
_symmetry_space_group_name_Hall 'P 1'
_cell_length_a 7.6124
_cell_length_b 4.3926
_cell_length_c 8.9689
_cell_angle_alpha 90.00
_cell_angle_beta 106.43
_cell_angle_gamma 90.00
loop_
_atom_site_label
_atom_site_fract_x
_atom_site_fract_y
_atom_site_fract_z
Ac1 0.2165 0.0000 0.1825
Ac2 0.2539 0.5000 0.8158
Ac3 0.7461 0.5000 0.1842
Ac4 0.7835 0.0000 0.8175
Co1 0.0000 0.5000 0.0000
Cu1 0.5000 0.0000 0.0000
I1 0.0000 0.0000 0.5000
I2 0.5000 0.5000 0.5000
```

=====

The following is a DFT calculation (PBE-GGA) of a geometry-optimized AcLaCoCu structure.

ΔH_f (0 K): -0.23 eV per formula unit
magnetization: 0.00 μB/f.u.
energy above the most stable polymorph in this dataset: 0.000 eV per atom

Cell and atoms, written as CIF:
```
data_AcLaCoCu
_symmetry_space_group_name_H-M 'P 1'
_symmetry_Int_Tables_number 1
_symmetry_space_group_name_Hall 'P 1'
_cell_length_a 4.4316
_cell_length_b 4.0605
_cell_length_c 11.0542
_cell_angle_alpha 90.00
_cell_angle_beta 90.00
_cell_angle_gamma 90.00
loop_
_atom_site_label
_atom_site_fract_x
_atom_site_fract_y
_atom_site_fract_z
Ac1 0.0000 0.0000 0.0000
Ac2 0.0000 0.5000 0.5000
La1 0.5000 0.0000 0.7245
La2 0.5000 0.5000 0.2245
Co1 0.0000 0.0000 0.2849
Co2 0.0000 0.5000 0.7849
Cu1 0.5000 0.0000 0.4213
Cu2 0.5000 0.5000 0.9213
```

=====

The following is a DFT calculation (PBE-GGA) of a geometry-optimized AcLaCoCu structure.

ΔH_f (0 K): 0.05 eV per formula unit
magnetization: 0.01 μB/f.u.
energy above the most stable polymorph in this dataset: 0.071 eV per atom

Cell and atoms, written as CIF:
```
data_AcLaCoCu
_symmetry_space_group_name_H-M 'P 1'
_symmetry_Int_Tables_number 1
_symmetry_space_group_name_Hall 'P 1'
_cell_length_a 7.2798
_cell_length_b 7.2798
_cell_length_c 7.2798
_cell_angle_alpha 90.00
_cell_angle_beta 90.00
_cell_angle_gamma 90.00
loop_
_atom_site_label
_atom_site_fract_x
_atom_site_fract_y
_atom_site_fract_z
Ac1 0.0000 0.0000 0.0000
Ac2 0.0000 0.5000 0.5000
Ac3 0.5000 0.0000 0.5000
Ac4 0.5000 0.5000 0.0000
La1 0.0000 0.0000 0.5000
La2 0.0000 0.5000 0.0000
La3 0.5000 0.0000 0.0000
La4 0.5000 0.5000 0.5000
Co1 0.2500 0.2500 0.2500
Co2 0.2500 0.7500 0.7500
Co3 0.7500 0.2500 0.7500
Co4 0.7500 0.7500 0.2500
Cu1 0.2500 0.2500 0.7500
Cu2 0.2500 0.7500 0.2500
Cu3 0.7500 0.2500 0.2500
Cu4 0.7500 0.7500 0.7500
```

=====

The following is a DFT calculation (PBE-GGA) of a geometry-optimized AcNdCoCu structure.

ΔH_f (0 K): 0.14 eV per formula unit
magnetization: 0.00 μB/f.u.
energy above the most stable polymorph in this dataset: 0.079 eV per atom

Cell and atoms, written as CIF:
```
data_AcNdCoCu
_symmetry_space_group_name_H-M 'P 1'
_symmetry_Int_Tables_number 1
_symmetry_space_group_name_Hall 'P 1'
_cell_length_a 7.2325
_cell_length_b 7.2325
_cell_length_c 7.2325
_cell_angle_alpha 90.00
_cell_angle_beta 90.00
_cell_angle_gamma 90.00
loop_
_atom_site_label
_atom_site_fract_x
_atom_site_fract_y
_atom_site_fract_z
Ac1 0.0000 0.0000 0.0000
Ac2 0.0000 0.5000 0.5000
Ac3 0.5000 0.0000 0.5000
Ac4 0.5000 0.5000 0.0000
Nd1 0.0000 0.0000 0.5000
Nd2 0.0000 0.5000 0.0000
Nd3 0.5000 0.0000 0.0000
Nd4 0.5000 0.5000 0.5000
Co1 0.2500 0.2500 0.7500
Co2 0.2500 0.7500 0.2500
Co3 0.7500 0.2500 0.2500
Co4 0.7500 0.7500 0.7500
Cu1 0.2500 0.2500 0.2500
Cu2 0.2500 0.7500 0.7500
Cu3 0.7500 0.2500 0.7500
Cu4 0.7500 0.7500 0.2500
```